Entry 1:
KCdPbCl6: optimized geometry, PBE.

a b c (Å): 7.025 7.025 13.768
angles (deg): 90.00 90.00 120.00
Last column: magnetic moment on the atom in μB.
Fractional positions:
Cl (0.367, 0.375, 0.363)  0.05
Cl (0.991, 0.625, 0.863)  0.05
Cl (0.625, 0.991, 0.363)  0.05
Pb (0.333, 0.667, 0.750)  0.10
Cd (0.667, 0.333, 0.750)  0.00
Cl (0.009, 0.375, 0.137)  0.05
K (0.000, 0.000, 0.000)  0.00
Cl (0.991, 0.367, 0.637)  0.05
Cl (0.625, 0.633, 0.137)  0.05
Cl (0.633, 0.009, 0.863)  0.05
Cl (0.375, 0.009, 0.637)  0.05
Cl (0.375, 0.367, 0.863)  0.05
Cl (0.367, 0.991, 0.137)  0.05
K (0.000, 0.000, 0.500)  0.00
Cd (0.333, 0.667, 0.250)  0.00
Pb (0.667, 0.333, 0.250)  0.10
Cl (0.009, 0.633, 0.363)  0.05
Cl (0.633, 0.625, 0.637)  0.05

## Properties
As for the total DFT energy (no corrections): -27.3 eV per formula unit. The formation energy without anion corrections comes out at -1161 meV/atom. As for the space group: P-31c.



Entry 2:
Th2Zn2Hg3: optimized geometry, PBE.

a b c (Å): 4.707 7.013 10.416
angles (deg): 90.00 103.06 90.00
Fractional positions:
Hg (0.214, 0.750, 0.428)
Th (0.037, 0.750, 0.074)
Hg (0.569, 0.046, 0.139)
Hg (0.431, 0.954, 0.861)
Zn (0.305, 0.058, 0.611)
Zn (0.305, 0.442, 0.611)
Hg (0.569, 0.454, 0.139)
Th (0.963, 0.250, 0.926)
Zn (0.695, 0.558, 0.389)
Zn (0.695, 0.942, 0.389)
Hg (0.431, 0.546, 0.861)
Th (0.839, 0.750, 0.679)
Hg (0.786, 0.250, 0.572)
Th (0.161, 0.250, 0.321)

## Properties
As for the total DFT energy (no corrections): -19.5 eV per formula unit. Its formation energy is -0.174 eV per atom. The relative energy among the computed polymorphs is 4 meV per atom. As for the space group: Cmcm.



Number 2 is which compound? Th2Zn2Hg3